Density functional theory data (PBE-GGA) for CsSb2Cl7 after structural relaxation.

Cell lengths 8.622, 13.835, 5.354 Å; angles 90.00, 90.00, 90.00 degrees
Space group Cmmm (No. 65)
Inequivalent atoms, fractional coordinates:
Cs 0.000 0.000 0.000 (multiplicity 2)
Sb 0.000 0.299 0.500 (multiplicity 4)
Cl 0.000 0.292 0.000 (multiplicity 4)
Cl 0.000 0.500 0.500 (multiplicity 2)
Cl 0.186 0.141 0.500 (multiplicity 8)

Properties
Final energy   -3.261 eV/atom

Density functional theory data (PBE-GGA) for CeUPaRe after structural relaxation.

Cell lengths 6.997, 6.997, 6.997 Å; angles 90.00, 90.00, 90.00 degrees
Space group F-43m (No. 216)
Inequivalent atoms, fractional coordinates:
Ce 0.000 0.000 0.000 (multiplicity 4)
U 0.250 0.250 0.750 (multiplicity 4)
Pa 0.250 0.250 0.250 (multiplicity 4)
Re 0.000 0.000 0.500 (multiplicity 4)

Properties
ΔE_f   0.99 eV per formula unit

Density functional theory data (PBE-GGA) for BaSr2Sc after structural relaxation.

Cell lengths 5.242, 5.242, 27.193 Å; angles 90.00, 90.00, 90.00 degrees
Space group I-42d (No. 122)
Inequivalent atoms, fractional coordinates:
Ba 0.000 0.000 0.000 (multiplicity 4)
Sr 0.238 0.250 0.625 (multiplicity 8)
Sc 0.000 0.000 0.500 (multiplicity 4)

Properties
ΔE to the lowest computed polymorph   247 meV/atom
ΔE_f   2.08 eV per formula unit

Density functional theory data (PBE-GGA) for AlZnAg2Os after structural relaxation.

Cell lengths 4.613, 4.613, 4.702 Å; angles 90.00, 90.00, 90.00 degrees
Space group P4/mmm (No. 123)
Inequivalent atoms, fractional coordinates:
Al 0.000 0.000 0.000 (multiplicity 1)
Zn 0.500 0.500 0.500 (multiplicity 1)
Ag 0.000 0.500 0.500 (multiplicity 2)
Os 0.500 0.500 0.000 (multiplicity 1)

Properties
ΔE_f   5.41 eV per formula unit

Let's list total magnetization in order: 0.000, 14.610, 2.244, 0.000 μB per cell.